Compound: EuCuGe2
Source: the Alexandria database
Functional: PBE
Structure: relaxed

```
data_EuCuGe2
_chemical_formula_sum 'Eu3 Cu3 Ge6'
_symmetry_space_group_name_H-M 'R -3 m'
_symmetry_Int_Tables_number 166
_symmetry_space_group_name_Hall '-R 3 2"'
_cell_length_a 4.1464
_cell_length_b 4.1464
_cell_length_c 16.4471
_cell_angle_alpha 90.00
_cell_angle_beta 90.00
_cell_angle_gamma 120.00
loop_
_atom_site_label
_atom_site_fract_x
_atom_site_fract_y
_atom_site_fract_z
Eu1 0.0000 0.0000 0.0000
Cu1 0.0000 0.0000 0.5000
Ge1 0.0000 0.0000 0.2168
```

Calculated values
Formation energy from the elements ... -398 meV per atom

=====

Compound: EuCuGe
Source: the Alexandria database
Functional: PBE
Structure: relaxed

```
data_EuCuGe
_chemical_formula_sum 'Eu1 Cu1 Ge1'
_symmetry_space_group_name_H-M 'P -6 m 2'
_symmetry_Int_Tables_number 187
_symmetry_space_group_name_Hall 'P -6 2'
_cell_length_a 4.2800
_cell_length_b 4.2800
_cell_length_c 4.1099
_cell_angle_alpha 90.00
_cell_angle_beta 90.00
_cell_angle_gamma 120.00
loop_
_atom_site_label
_atom_site_fract_x
_atom_site_fract_y
_atom_site_fract_z
Eu1 0.0000 0.0000 0.0000
Cu1 0.3333 0.6667 0.5000
Ge1 0.6667 0.3333 0.5000
```

Calculated values
Formation energy from the elements ... -483 meV per atom

=====

Compound: LaEuCuGe
Source: the Alexandria database
Functional: PBE
Structure: relaxed

```
data_LaEuCuGe
_chemical_formula_sum 'La4 Eu4 Cu4 Ge4'
_symmetry_space_group_name_H-M 'F -4 3 m'
_symmetry_Int_Tables_number 216
_symmetry_space_group_name_Hall 'F -4 2 3'
_cell_length_a 7.3960
_cell_length_b 7.3960
_cell_length_c 7.3960
_cell_angle_alpha 90.00
_cell_angle_beta 90.00
_cell_angle_gamma 90.00
loop_
_atom_site_label
_atom_site_fract_x
_atom_site_fract_y
_atom_site_fract_z
La1 0.0000 0.0000 0.0000
Eu1 0.0000 0.0000 0.5000
Cu1 0.2500 0.2500 0.2500
Ge1 0.2500 0.2500 0.7500
```

Calculated values
Formation energy from the elements ... -457 meV per atom

=====

Compound: NdEuCuGe
Source: the Alexandria database
Functional: PBE
Structure: relaxed

```
data_NdEuCuGe
_chemical_formula_sum 'Nd4 Eu4 Cu4 Ge4'
_symmetry_space_group_name_H-M 'F -4 3 m'
_symmetry_Int_Tables_number 216
_symmetry_space_group_name_Hall 'F -4 2 3'
_cell_length_a 7.3178
_cell_length_b 7.3178
_cell_length_c 7.3178
_cell_angle_alpha 90.00
_cell_angle_beta 90.00
_cell_angle_gamma 90.00
loop_
_atom_site_label
_atom_site_fract_x
_atom_site_fract_y
_atom_site_fract_z
Nd1 0.0000 0.0000 0.0000
Eu1 0.0000 0.0000 0.5000
Cu1 0.2500 0.2500 0.7500
Ge1 0.2500 0.2500 0.2500
```

Calculated values
Formation energy from the elements ... -432 meV per atom